{"formula": "Zr5InPb3", "functional": "meta-GGA SCAN", "state": "single point on PBEsol structure", "formation_enthalpy_0k_ev_per_atom": -0.51, "dft_energy_ev_per_atom": -46.53, "magnetic_moment_mub_per_fu": 0.00, "lattice": [[5.9382, 0.0000, 0.0000], [0.0000, 8.8051, 0.0000], [0.0000, -4.4025, 7.6254]], "species": ["In", "Pb", "In", "Zr", "Zr", "Zr", "Pb", "Zr", "Zr", "Pb", "Zr", "Pb", "Zr", "Pb", "Zr", "Zr", "Pb", "Zr"], "frac_coords": [[0.0000, 0.0000, 0.0000], [0.2500, 0.6180, 0.0000], [0.5000, 0.0000, 0.0000], [0.7500, 0.0000, 0.7198], [0.7500, 0.2802, 0.2802], [0.5000, 0.3333, 0.6667], [0.7500, 0.0000, 0.3820], [0.5000, 0.6667, 0.3333], [0.2500, 0.7198, 0.7198], [0.2500, 0.0000, 0.6180], [0.7500, 0.7198, 0.0000], [0.7500, 0.6180, 0.6180], [0.0000, 0.6667, 0.3333], [0.7500, 0.3820, 0.0000], [0.2500, 0.2802, 0.0000], [0.2500, 0.0000, 0.2802], [0.2500, 0.3820, 0.3820], [0.0000, 0.3333, 0.6667]]}